(1)
Material: TeRuW2
Method: DFT, PBE
State: relaxed Values from VASP.

Geometry as Quantum ESPRESSO input:
```
&SYSTEM
  ibrav = 0, nat = 4, ntyp = 3
/
ATOMIC_SPECIES
Te 127.60 Te.upf
Ru 101.07 Ru.upf
W 183.84 W.upf
CELL_PARAMETERS angstrom
-3.598 -2.970 -2.050
-1.857 -4.740 -0.208
-3.132 0.386 3.331
ATOMIC_POSITIONS angstrom
Te -2.146 -1.831 0.269
Ru -6.439 -5.493 0.806
W -4.314 -3.579 0.637
W -3.110 0.303 3.231
```

Values from the calculation:
The total magnetization is 0.000 Bohr magnetons per cell. As for the calculated volume: 68.1 Å³/f.u. The space group is C2/m. The crystal system is monoclinic. As for the calculated total energy: -36.43 eV for the cell shown.



(2)
Material: Tc3PbCl
Method: DFT, PBE
State: relaxed Values from VASP.

Geometry as Quantum ESPRESSO input:
```
&SYSTEM
  ibrav = 0, nat = 5, ntyp = 3
/
ATOMIC_SPECIES
Tc 98.00 Tc.upf
Pb 207.20 Pb.upf
Cl 35.45 Cl.upf
CELL_PARAMETERS angstrom
4.458 0.000 0.000
0.000 4.458 0.000
0.000 0.000 4.458
ATOMIC_POSITIONS angstrom
Tc 0.000 2.229 0.000
Tc 2.229 0.000 0.000
Pb 2.229 2.229 2.229
Cl 0.000 0.000 0.000
Tc 0.000 0.000 2.229
```

Values from the calculation:
The total magnetization is 1.448 Bohr magnetons per cell. As for the calculated volume: 88.6 Å³/f.u. The space group is Pm-3m. The crystal system is cubic. Its excess energy over the best structure of this formula in the dataset is 0.00 eV per formula unit. As for the calculated total energy: -30.92 eV for the cell shown.



Number 1: ρ 14.54 g/cm³, formation energy without anion corrections 473 meV/atom. Number 2: ρ 10.06 g/cm³, formation energy without anion corrections 1147 meV/atom.